1.
First-principles (PBE) data for crystalline PmGdMgGa at its relaxed geometry, as listed in Alexandria via LeMat-Bulk.

Geometry as CIF:
```
data_PmGdMgGa
_chemical_formula_sum 'Pm4 Gd4 Mg4 Ga4'
_cell_length_a 7.4266
_cell_length_b 7.4266
_cell_length_c 7.4266
_cell_angle_alpha 90.00
_cell_angle_beta 90.00
_cell_angle_gamma 90.00
_symmetry_space_group_name_H-M 'F -4 3 m'
_symmetry_Int_Tables_number 216
_symmetry_space_group_name_Hall 'F -4 2 3'
loop_
_atom_site_label
_atom_site_type_symbol
_atom_site_fract_x
_atom_site_fract_y
_atom_site_fract_z
_atom_site_occupancy
Pm1 Pm 0.0000 0.0000 0.0000 1
Gd1 Gd 0.0000 0.0000 0.5000 1
Mg1 Mg 0.2500 0.2500 0.2500 1
Ga1 Ga 0.2500 0.2500 0.7500 1
```

Results
DFT total energy: -6.206 eV/atom
calculated volume: 102.40 Å³/f.u.
total magnetization: 1.852 μB/atom

2.
First-principles (PBE) data for crystalline YTe2Br2 at its relaxed geometry, as listed in Alexandria via LeMat-Bulk.

Geometry as CIF:
```
data_YTe2Br2
_chemical_formula_sum 'Y2 Te4 Br4'
_cell_length_a 7.2727
_cell_length_b 7.2727
_cell_length_c 6.7721
_cell_angle_alpha 90.00
_cell_angle_beta 90.00
_cell_angle_gamma 90.00
_symmetry_space_group_name_H-M 'P 4/m b m'
_symmetry_Int_Tables_number 127
_symmetry_space_group_name_Hall '-P 4 2ab'
loop_
_atom_site_label
_atom_site_type_symbol
_atom_site_fract_x
_atom_site_fract_y
_atom_site_fract_z
_atom_site_occupancy
Y1 Y 0.0000 0.0000 0.0000 1
Te1 Te 0.1319 0.3681 0.5000 1
Br1 Br 0.1631 0.6631 0.0000 1
```

Results
calculated volume: 179.10 Å³/f.u.
total magnetization: 0.031 μB/atom
offset from the most stable computed form: 0.0000 eV/atom
E_form (uncorrected): -0.722 eV/atom

3.
First-principles (PBE) data for crystalline LiMnPt4 at its relaxed geometry, as listed in Alexandria via LeMat-Bulk.

Geometry as CIF:
```
data_LiMnPt4
_chemical_formula_sum 'Li1 Mn1 Pt4'
_cell_length_a 4.0233
_cell_length_b 4.0233
_cell_length_c 5.7836
_cell_angle_alpha 90.00
_cell_angle_beta 90.00
_cell_angle_gamma 90.00
_symmetry_space_group_name_H-M 'P 4/m m m'
_symmetry_Int_Tables_number 123
_symmetry_space_group_name_Hall '-P 4 2'
loop_
_atom_site_label
_atom_site_type_symbol
_atom_site_fract_x
_atom_site_fract_y
_atom_site_fract_z
_atom_site_occupancy
Li1 Li 0.0000 0.0000 0.0000 1
Mn1 Mn 0.5000 0.5000 0.5000 1
Pt1 Pt 0.0000 0.5000 0.2420 1
```

Results
calculated volume: 93.62 Å³/f.u.
total magnetization: 0.451 μB/atom
offset from the most stable computed form: 0.1444 eV/atom

4.
First-principles (PBE) data for crystalline Si2IrRu at its relaxed geometry, as listed in Alexandria via LeMat-Bulk.

Geometry as CIF:
```
data_Si2IrRu
_chemical_formula_sum 'Si4 Ir2 Ru2'
_cell_length_a 2.8961
_cell_length_b 4.7732
_cell_length_c 8.2167
_cell_angle_alpha 90.00
_cell_angle_beta 90.00
_cell_angle_gamma 90.00
_symmetry_space_group_name_H-M 'C m m 2'
_symmetry_Int_Tables_number 35
loop_
_symmetry_equiv_pos_as_xyz
'x,y,z'
'-x,-y,z'
'-x,y,z'
'x,-y,z'
'x+1/2,y+1/2,z'
'-x+1/2,-y+1/2,z'
'-x+1/2,y+1/2,z'
'x+1/2,-y+1/2,z'
loop_
_atom_site_label
_atom_site_type_symbol
_atom_site_fract_x
_atom_site_fract_y
_atom_site_fract_z
_atom_site_occupancy
Si1 Si 0.0000 0.0000 0.0000 1
Si2 Si 0.0000 0.5000 0.2505 1
Ir1 Ir 0.0000 0.5000 0.7705 1
Ru1 Ru 0.0000 0.0000 0.4748 1
```

Results
calculated volume: 56.79 Å³/f.u.
total magnetization: 0.000 μB/atom
E_form (uncorrected): 0.131 eV/atom

5.
First-principles (PBE) data for crystalline CdIn2SnCl6 at its relaxed geometry, as listed in Alexandria via LeMat-Bulk.

Geometry as CIF:
```
data_CdIn2SnCl6
_chemical_formula_sum 'Cd1 In2 Sn1 Cl6'
_cell_length_a 7.5301
_cell_length_b 7.5301
_cell_length_c 5.8381
_cell_angle_alpha 90.00
_cell_angle_beta 90.00
_cell_angle_gamma 90.00
_symmetry_space_group_name_H-M 'P 4 m m'
_symmetry_Int_Tables_number 99
loop_
_symmetry_equiv_pos_as_xyz
'x,y,z'
'-y,x,z'
'-x,-y,z'
'y,-x,z'
'-x,y,z'
'y,x,z'
'x,-y,z'
'-y,-x,z'
loop_
_atom_site_label
_atom_site_type_symbol
_atom_site_fract_x
_atom_site_fract_y
_atom_site_fract_z
_atom_site_occupancy
Cd1 Cd 0.0000 0.0000 0.0000 1
In1 In 0.0000 0.5000 0.4243 1
Sn1 Sn 0.5000 0.5000 0.0279 1
Cl1 Cl 0.0000 0.0000 0.5770 1
Cl2 Cl 0.2394 0.2394 0.1165 1
Cl3 Cl 0.5000 0.5000 0.5823 1
```

Results
calculated volume: 331.03 Å³/f.u.
total magnetization: 0.000 μB/atom
E_form (uncorrected): -0.921 eV/atom

6.
First-principles (PBE) data for crystalline VSn3H at its relaxed geometry, as listed in Alexandria via LeMat-Bulk.

Geometry as CIF:
```
data_VSn3H
_chemical_formula_sum 'V1 Sn3 H1'
_cell_length_a 5.1227
_cell_length_b 5.1227
_cell_length_c 5.1227
_cell_angle_alpha 90.00
_cell_angle_beta 90.00
_cell_angle_gamma 90.00
_symmetry_space_group_name_H-M 'P m -3 m'
_symmetry_Int_Tables_number 221
_symmetry_space_group_name_Hall '-P 4 2 3'
loop_
_atom_site_label
_atom_site_type_symbol
_atom_site_fract_x
_atom_site_fract_y
_atom_site_fract_z
_atom_site_occupancy
V1 V 0.0000 0.0000 0.0000 1
Sn1 Sn 0.0000 0.0000 0.5000 1
H1 H 0.5000 0.5000 0.5000 1
```

Results
calculated volume: 134.43 Å³/f.u.
total magnetization: 0.253 μB/atom
offset from the most stable computed form: 0.1316 eV/atom

7.
First-principles (PBE) data for crystalline Mg2ZrPb at its relaxed geometry, as listed in Alexandria via LeMat-Bulk.

Geometry as CIF:
```
data_Mg2ZrPb
_chemical_formula_sum 'Mg8 Zr4 Pb4'
_cell_length_a 7.2243
_cell_length_b 7.2243
_cell_length_c 7.2243
_cell_angle_alpha 90.00
_cell_angle_beta 90.00
_cell_angle_gamma 90.00
_symmetry_space_group_name_H-M 'F -4 3 m'
_symmetry_Int_Tables_number 216
_symmetry_space_group_name_Hall 'F -4 2 3'
loop_
_atom_site_label
_atom_site_type_symbol
_atom_site_fract_x
_atom_site_fract_y
_atom_site_fract_z
_atom_site_occupancy
Mg1 Mg 0.0000 0.0000 0.0000 1
Mg2 Mg 0.2500 0.2500 0.2500 1
Zr1 Zr 0.2500 0.2500 0.7500 1
Pb1 Pb 0.0000 0.0000 0.5000 1
```

Results
DFT total energy: -3.694 eV/atom
calculated volume: 94.26 Å³/f.u.
total magnetization: 0.000 μB/atom

8.
First-principles (PBE) data for crystalline La3Si8Os3 at its relaxed geometry, as listed in Alexandria via LeMat-Bulk.

Geometry as CIF:
```
data_La3Si8Os3
_chemical_formula_sum 'La6 Si16 Os6'
_cell_length_a 4.1609
_cell_length_b 10.3008
_cell_length_c 11.7637
_cell_angle_alpha 90.00
_cell_angle_beta 90.00
_cell_angle_gamma 90.00
_symmetry_space_group_name_H-M 'I m m m'
_symmetry_Int_Tables_number 71
_symmetry_space_group_name_Hall '-I 2 2'
loop_
_atom_site_label
_atom_site_type_symbol
_atom_site_fract_x
_atom_site_fract_y
_atom_site_fract_z
_atom_site_occupancy
La1 La 0.0000 0.0000 0.0000 1
La2 La 0.0000 0.0000 0.3078 1
Si1 Si 0.0000 0.2906 0.1191 1
Si2 Si 0.0000 0.3507 0.3358 1
Os1 Os 0.0000 0.2124 0.5000 1
Os2 Os 0.0000 0.5000 0.0000 1
```

Results
calculated volume: 252.10 Å³/f.u.
total magnetization: 0.000 μB/atom
E_form (uncorrected): -0.445 eV/atom